A plane-wave DFT calculation with PBE-GGA was carried out for a geometry-optimized Mg2BeSi3Pt4 structure.

Lattice parameters (Å, degrees): 3.8939 3.8939 10.6362 90.00 90.00 90.00
Element x y z (fractional)
Mg  0.0000  0.5000  0.2243
Mg  0.5000  0.0000  0.7757
Be  0.5000  0.5000  0.0000
Si  0.0000  0.0000  0.0000
Si  0.0000  0.5000  0.6414
Si  0.5000  0.0000  0.3586
Pt  0.0000  0.0000  0.5000
Pt  0.0000  0.5000  0.8625
Pt  0.5000  0.0000  0.1375
Pt  0.5000  0.5000  0.5000

Values from the calculation:
Total magnetization: 0.000 μB per atom
Uncorrected formation energy: -0.6752 eV per atom